A | NaBSCl2 after structural relaxation, computed with PBE-GGA.

```
5
Lattice="5.203 0.000 0.000 0.000 5.203 0.000 0.000 0.000 5.151" Properties=species:S:1:pos:R:3 pbc="T T T"
S 0.000 0.000 2.575
Na 0.000 0.000 0.000
Cl 0.000 2.602 0.000
Cl 2.602 0.000 0.000
B 2.602 2.602 2.575
```

Summary:
SG: P4/mmm
density of states at the Fermi level: 3.89 states/eV/f.u.



B | NaBSCl2 after structural relaxation, computed with PBE-GGA.

```
5
Lattice="-3.834 -0.713 -3.434 1.246 -5.033 -0.346 -2.271 -0.747 2.691" Properties=species:S:1:pos:R:3 pbc="T T T"
Na -2.430 -3.247 -0.545
S -1.136 -0.374 1.345
Cl -1.917 -0.356 -1.717
Cl 0.623 -2.516 -0.173
B 0.000 0.000 0.000
```

Summary:
SG: P4/mmm
density of states at the Fermi level: 0.84 states/eV/f.u.



Energy above the most stable structure, in meV per atom: A 1156; B 0



A | NbBP2Cl after structural relaxation, computed with PBE-GGA.

```
5
Lattice="4.836 0.000 0.000 0.000 4.836 0.000 0.000 0.000 4.920" Properties=species:S:1:pos:R:3 pbc="T T T"
P 0.000 2.418 0.000
P 2.418 0.000 0.000
Nb 0.000 0.000 0.000
B 2.418 2.418 2.460
Cl 0.000 0.000 2.460
```

Summary:
SG: P4/mmm
density of states at the Fermi level: 2.49 states/eV/f.u.



B | NbBP2Cl after structural relaxation, computed with PBE-GGA.

```
5
Lattice="-1.647 -2.278 2.990 3.267 0.748 2.369 -1.971 3.530 1.603" Properties=species:S:1:pos:R:3 pbc="T T T"
Nb -0.176 1.000 3.481
P -0.824 -1.139 1.495
P 1.633 0.374 1.185
Cl -0.985 1.765 0.802
B 0.000 0.000 0.000
```

Summary:
SG: P4/mmm
density of states at the Fermi level: 4.33 states/eV/f.u.



Energy above the most stable structure, in meV per atom: A 257; B 0